Record 1
Here is an optimized crystal structure of FePOs2 from Alexandria via LeMat-Bulk. Energies are from PBE.

Summary:
ΔH_f (0 K) in meV per atom: 463

```
4
Lattice="4.2424 0.0000 0.0000 2.1212 3.6740 0.0000 2.1212 1.2247 3.4639" Properties=species:S:1:pos:R:3 pbc="T T T"
P 2.1212 1.2247 0.8660
Os 6.3636 3.6740 2.5979
Os 0.0000 0.0000 0.0000
Fe 4.2424 2.4494 1.7320
```

Record 2
Here is an optimized crystal structure of Ho2Er6Tm3Zr from Alexandria via LeMat-Bulk. Energies are from PBE.

Summary:
ΔH_f (0 K) in meV per atom: 43

```
12
Lattice="-4.1375 -3.6022 2.4598 1.7069 -0.8510 -5.7015 8.9916 -5.5407 4.5712" Properties=species:S:1:pos:R:3 pbc="T T T"
Ho -2.1906 -2.6858 -0.2588
Ho -0.2399 -1.7675 -2.9829
Er 6.1889 -5.2735 2.6543
Er 0.6595 -2.9052 1.6644
Tm 1.3321 -5.9141 3.3856
Er 2.5717 -2.0051 -1.0058
Tm 3.2805 -4.9969 0.6648
Er 0.3721 -4.7204 -1.3248
Er 3.9894 -7.9888 2.3353
Er 5.9016 -7.0887 -0.3349
Zr 0.0000 0.0000 0.0000
Tm 5.2290 -4.0797 -2.0561
```

Record 3
Here is an optimized crystal structure of B2PdCl8 from Alexandria via LeMat-Bulk. Energies are from PBE.

Summary:
Uncorrected formation energy in eV/atom: -0.7791

```
11
Lattice="6.7341 -0.2413 -0.1831 -0.2950 7.2434 -0.1840 -0.2950 1.7732 7.0255" Properties=species:S:1:pos:R:3 pbc="T T T"
Cl 0.8559 3.7520 6.6742
Cl 4.7775 5.5359 4.2004
B 1.9604 1.8983 1.4403
Cl 0.8559 7.4379 1.8163
Cl 3.7365 1.7272 1.3105
Cl 5.2881 5.0234 -0.0158
Cl 1.3665 3.2395 2.4580
Cl 5.2881 1.3375 4.8421
B 4.1836 6.8771 5.2181
Pd 0.0000 0.0000 0.0000
Cl 2.4075 7.0482 5.3479
```

Record 4
Here is an optimized crystal structure of ReGe2 from Alexandria via LeMat-Bulk. Energies are from PBE.

Summary:
ΔH_f (0 K) in meV per atom: 203

```
3
Lattice="3.3089 -0.0040 -0.0041 -0.0040 3.3089 -0.0041 -1.6581 -1.6581 4.1918" Properties=species:S:1:pos:R:3 pbc="T T T"
Re 1.6524 1.6524 -0.0041
Ge 1.6489 1.6489 2.8229
Ge -0.0022 -0.0022 1.3608
```

Record 5
Here is an optimized crystal structure of YbCeAg2 from Alexandria via LeMat-Bulk. Energies are from PBE.

Summary:
ΔH_f (0 K) in meV per atom: -249

```
4
Lattice="5.2206 0.0000 0.0000 2.6103 4.5208 0.0005 2.6103 1.5075 4.2620" Properties=species:S:1:pos:R:3 pbc="T T T"
Ce 7.8309 4.5212 3.1969
Ag 5.2206 3.0147 2.1318
Yb 2.6103 1.5071 1.0656
Ag 5.2206 6.0277 4.2621
```

| no. | total moment (μB per formula unit) | total DFT energy (no corrections) (eV/atom) |
| --- | --- | --- |
| 1 | 2.35 | -8.620 |
| 2 | 0.00 | -4.832 |
| 3 | 0.10 | -3.808 |
| 4 | 0.00 | -7.025 |
| 5 | 1.07 | -3.540 |